Here is a relaxed HfTiTc crystal from Alexandria via LeMat-Bulk. Energies are from GGA-PBE.

Cell lengths 4.4190, 4.4190, 3.0796 Å; angles 90.00, 90.00, 120.00 degrees
Closest atoms and distances in Å follow each position.
Space group P3m1 (No. 156)
Asymmetric unit:
Hf 0.0000 0.0000 0.0000 (multiplicity 1)  3 Tc 2.73, 3 Ti 2.87
Ti 0.3333 0.6667 0.4238 (multiplicity 1)  3 Tc 2.68, 3 Hf 2.87
Tc 0.6667 0.3333 0.6880 (multiplicity 1)  3 Ti 2.68, 3 Hf 2.73

Values from the calculation:
energy above the lowest structure with this stoichiometry: 7.7 kJ per mole of atoms
spin magnetization: 0.00 μB/f.u.